## Dy2HgBr2 (GGA-PBE)

Data for crystalline Dy2HgBr2 at its relaxed geometry.

Cell lengths 11.5722, 11.5722, 11.5722 Å; angles 19.95, 19.95, 19.95 degrees
Fractional positions:
Dy 0.1090 0.1090 0.1090
Dy 0.8910 0.8910 0.8910
Hg 0.5000 0.5000 0.5000
Br 0.2777 0.2777 0.2777
Br 0.7223 0.7223 0.7223

SG	R-3m

=====

## DyHgBr3 (GGA-PBE)

Data for crystalline DyHgBr3 at its relaxed geometry.

Cell lengths 7.4303, 7.4303, 7.7486 Å; angles 105.78, 105.78, 66.91 degrees
Fractional positions:
Dy 0.1828 0.1828 0.0172
Dy 0.8172 0.8172 0.9828
Hg 0.4768 0.4768 0.2003
Hg 0.5232 0.5232 0.7997
Br 0.0291 0.4622 0.7700
Br 0.0331 0.0331 0.2412
Br 0.4622 0.0291 0.7700
Br 0.5378 0.9709 0.2300
Br 0.9669 0.9669 0.7588
Br 0.9709 0.5378 0.2300

excess energy over the best structure of this formula in the dataset	0.0	kJ/mol of formula units
SG	C2/m

=====

## KDyHgBr6 (GGA-PBE)

Data for crystalline KDyHgBr6 at its relaxed geometry.

Cell lengths 7.3279, 7.3279, 14.6386 Å; angles 90.00, 90.00, 120.00 degrees
Fractional positions:
K 0.0000 0.0000 0.0000
K 0.0000 0.0000 0.5000
Dy 0.3333 0.6667 0.2500
Dy 0.6667 0.3333 0.7500
Hg 0.3333 0.6667 0.7500
Hg 0.6667 0.3333 0.2500
Br 0.0052 0.3728 0.1377
Br 0.0052 0.6324 0.3623
Br 0.3676 0.3728 0.3623
Br 0.3676 0.9948 0.1377
Br 0.3728 0.0052 0.6377
Br 0.3728 0.3676 0.8623
Br 0.6272 0.6324 0.1377
Br 0.6272 0.9948 0.3623
Br 0.6324 0.0052 0.8623
Br 0.6324 0.6272 0.6377
Br 0.9948 0.3676 0.6377
Br 0.9948 0.6272 0.8623

SG	P-31c

=====

## NaDyHgBr6 (GGA-PBE)

Data for crystalline NaDyHgBr6 at its relaxed geometry.

Cell lengths 7.1894, 7.1894, 13.5339 Å; angles 90.00, 90.00, 120.00 degrees
Fractional positions:
Na 0.0000 0.0000 0.0000
Na 0.0000 0.0000 0.5000
Dy 0.3333 0.6667 0.2500
Dy 0.6667 0.3333 0.7500
Hg 0.3333 0.6667 0.7500
Hg 0.6667 0.3333 0.2500
Br 0.0054 0.3563 0.1295
Br 0.0054 0.6491 0.3705
Br 0.3509 0.3563 0.3705
Br 0.3509 0.9946 0.1295
Br 0.3563 0.0054 0.6295
Br 0.3563 0.3509 0.8705
Br 0.6437 0.6491 0.1295
Br 0.6437 0.9946 0.3705
Br 0.6491 0.0054 0.8705
Br 0.6491 0.6437 0.6295
Br 0.9946 0.3509 0.6295
Br 0.9946 0.6437 0.8705

SG	P-31c

=====

## RbDyHgBr6 (GGA-PBE)

Data for crystalline RbDyHgBr6 at its relaxed geometry.

Cell lengths 7.3761, 7.3761, 7.6530 Å; angles 90.00, 90.00, 120.00 degrees
Fractional positions:
Rb 0.0000 0.0000 0.0000
Dy 0.6667 0.3333 0.5000
Hg 0.3333 0.6667 0.5000
Br 0.3789 0.0053 0.2842
Br 0.3789 0.3737 0.7158
Br 0.6263 0.0053 0.7158
Br 0.6263 0.6211 0.2842
Br 0.9947 0.3737 0.2842
Br 0.9947 0.6211 0.7158

SG	P312

=====

## Rb2DyHgBr6 (GGA-PBE)

Data for crystalline Rb2DyHgBr6 at its relaxed geometry.

Cell lengths 8.0461, 11.6702, 8.6310 Å; angles 90.00, 90.00, 90.00 degrees
Fractional positions:
Rb 0.2500 0.0337 0.1990
Rb 0.2500 0.4663 0.1990
Rb 0.7500 0.5337 0.8010
Rb 0.7500 0.9663 0.8010
Dy 0.2500 0.7500 0.7758
Dy 0.7500 0.2500 0.2242
Hg 0.2500 0.2500 0.7157
Hg 0.7500 0.7500 0.2843
Br 0.0064 0.2500 0.4409
Br 0.0079 0.7500 0.0108
Br 0.2500 0.5102 0.7847
Br 0.2500 0.9898 0.7847
Br 0.4921 0.7500 0.0108
Br 0.4936 0.2500 0.4409
Br 0.5064 0.7500 0.5591
Br 0.5079 0.2500 0.9892
Br 0.7500 0.0102 0.2153
Br 0.7500 0.4898 0.2153
Br 0.9921 0.2500 0.9892
Br 0.9936 0.7500 0.5591

SG	Pmmn

=====

## DySnHgBr6 (GGA-PBE)

Data for crystalline DySnHgBr6 at its relaxed geometry.

Cell lengths 7.2351, 7.2351, 8.7128 Å; angles 90.00, 90.00, 120.00 degrees
Fractional positions:
Dy 0.0000 0.0000 0.0000
Sn 0.3333 0.6667 0.0000
Hg 0.6667 0.3333 0.5000
Br 0.0280 0.3318 0.8132
Br 0.0280 0.6962 0.1868
Br 0.3038 0.3318 0.1868
Br 0.3038 0.9720 0.8132
Br 0.6682 0.6962 0.8132
Br 0.6682 0.9720 0.1868

SG	P312

=====

## DyHo2Br (GGA-PBE)

Data for crystalline DyHo2Br at its relaxed geometry.

Cell lengths 10.3901, 10.3901, 10.3901 Å; angles 20.10, 20.10, 20.10 degrees
Fractional positions:
Dy 0.0000 0.0000 0.0000
Ho 0.2428 0.2428 0.2428
Ho 0.7572 0.7572 0.7572
Br 0.5000 0.5000 0.5000

SG	R-3m

=====

What did we get for density of states at the Fermi level? Answer: 1.19, 0.00, 0.00, 0.00, 0.00, 9.11, 6.26, 4.24 states/eV per cell, in the order shown.
What did we get for uncorrected formation energy? Answer: -1.1726, -1.4280, -1.3633, -1.2972, -1.3718, -1.4497, -1.0852, -0.5085 eV/atom, in the order shown.